# 1
Nb2In: optimized geometry, PBE.

Cell: 8.8708 8.8708 8.8708 Å, 60.00 60.00 60.00°
Last column: nearest neighbours and their distance in Å.
Fractional coordinates of all 6 atoms:
In1 0.2500 0.2500 0.2500  4 Nb 2.72
Nb1 0.8750 0.3750 0.3750  2 In 2.72
Nb2 0.3750 0.3750 0.3750  2 In 2.72
Nb3 0.3750 0.8750 0.3750  2 In 2.72
Nb4 0.3750 0.3750 0.8750  2 In 2.72
In2 0.5000 0.5000 0.5000  4 Nb 2.72

Output
E   -24.347 eV for the cell shown
Calculated density   2.02 g/cm³
V   82.3 A^3/atom
Space group   Fd-3m (227)

# 2
NbIn2Ni: optimized geometry, PBE.

Cell: 4.6933 4.6933 4.6933 Å, 60.00 60.00 60.00°
Last column: nearest neighbours and their distance in Å.
Fractional coordinates of all 4 atoms:
In1 0.0000 0.0000 0.0000  4 In 2.87, 4 Ni 2.87
In2 0.7500 0.7500 0.7500  4 Nb 2.87, 4 In 2.87
Nb1 0.5000 0.5000 0.5000  4 In 2.87, 4 Ni 2.87
Ni1 0.2500 0.2500 0.2500  4 Nb 2.87, 4 In 2.87

Output
E   -19.740 eV for the cell shown
Calculated density   8.66 g/cm³
V   18.3 A^3/atom
Space group   F-43m (216)

# 3
Nb2InNi: optimized geometry, PBE.

Cell: 4.6113 4.6113 4.6113 Å, 60.00 60.00 60.00°
Last column: nearest neighbours and their distance in Å.
Fractional coordinates of all 4 atoms:
Nb1 0.7500 0.7500 0.7500  4 In 2.82, 4 Nb 2.82
In1 0.5000 0.5000 0.5000  4 Nb 2.82, 4 Ni 2.82
Ni1 0.2500 0.2500 0.2500  4 Nb 2.82, 4 In 2.82
Nb2 0.0000 0.0000 0.0000  4 Ni 2.82, 4 Nb 2.82

Output
E   -27.414 eV for the cell shown
Calculated density   8.61 g/cm³
V   17.3 A^3/atom
Space group   F-43m (216)